DFT (GGA-PBE) results for a geometry-optimized NdSbPd6 structure.

* M_tot: 0.000 Bohr magnetons per cell
* calculated volume: 22.444 Å³ per atom
* formation energy (no corrections): -0.29 eV per atom
* ΔE to the lowest computed polymorph: 251 meV per atom
* DOS(E_F): 3.39 states/eV/f.u.

a b c (Å): 5.534 5.534 7.486
angles (deg): 68.31 68.31 60.00
Positions (direct):
Nd (0.500, 0.500, 0.500)
Sb (0.000, 0.000, 0.000)
Pd (0.929, 0.929, 0.701)
Pd (0.441, 0.929, 0.701)
Pd (0.071, 0.559, 0.299)
Pd (0.559, 0.071, 0.299)
Pd (0.071, 0.071, 0.299)
Pd (0.929, 0.441, 0.701)

DFT (GGA-PBE) results for a geometry-optimized NdSbPd2 structure.

* M_tot: 0.000 Bohr magnetons per cell
* calculated volume: 23.244 Å³ per atom
* formation energy (no corrections): -0.68 eV per atom
* DOS(E_F): 2.57 states/eV/f.u.

a b c (Å): 4.429 3.689 5.690
angles (deg): 90.01 90.00 90.00
Positions (direct):
Nd (0.500, 0.500, 0.000)
Sb (0.500, 0.000, 0.500)
Pd (0.000, 0.000, 0.239)
Pd (0.000, 0.000, 0.761)

DFT (GGA-PBE) results for a geometry-optimized NdSb3Pd3 structure.

* M_tot: 0.000 Bohr magnetons per cell
* calculated volume: 24.559 Å³ per atom
* formation energy (no corrections): -0.52 eV per atom
* ΔE to the lowest computed polymorph: 0 meV per atom
* DOS(E_F): 3.55 states/eV/f.u.

a b c (Å): 8.202 8.202 7.566
angles (deg): 57.18 57.18 60.00
Positions (direct):
Nd (0.333, 0.333, 0.002)
Nd (0.667, 0.667, 0.998)
Sb (0.400, 0.780, 0.726)
Sb (0.780, 0.094, 0.726)
Sb (0.094, 0.400, 0.726)
Sb (0.906, 0.600, 0.274)
Sb (0.220, 0.906, 0.274)
Sb (0.600, 0.220, 0.274)
Pd (0.260, 0.562, 0.264)
Pd (0.914, 0.260, 0.264)
Pd (0.562, 0.914, 0.264)
Pd (0.438, 0.086, 0.736)
Pd (0.086, 0.740, 0.736)
Pd (0.740, 0.438, 0.736)

DFT (GGA-PBE) results for a geometry-optimized NdSbPd2 structure.

* M_tot: 0.000 Bohr magnetons per cell
* calculated volume: 21.826 Å³ per atom
* formation energy (no corrections): -0.86 eV per atom
* DOS(E_F): 1.62 states/eV/f.u.

a b c (Å): 5.828 7.130 8.404
angles (deg): 90.00 90.00 90.00
Positions (direct):
Nd (0.335, 0.250, 0.061)
Nd (0.835, 0.750, 0.439)
Nd (0.665, 0.750, 0.939)
Nd (0.165, 0.250, 0.561)
Sb (0.676, 0.250, 0.392)
Sb (0.176, 0.750, 0.108)
Sb (0.324, 0.750, 0.608)
Sb (0.824, 0.250, 0.892)
Pd (0.899, 0.043, 0.175)
Pd (0.399, 0.957, 0.325)
Pd (0.101, 0.543, 0.825)
Pd (0.601, 0.457, 0.675)
Pd (0.101, 0.957, 0.825)
Pd (0.601, 0.043, 0.675)
Pd (0.899, 0.457, 0.175)
Pd (0.399, 0.543, 0.325)